First-principles (GGA-PBE) data for an optimized crystal structure of FeCo2B, as listed in Alexandria.

Computed properties:
Final energy in eV/atom: -7.444
M_tot in μB/f.u.: 3.15
Volume in A^3/atom: 9.3
E_form in eV per atom: -0.11

Cell: 2.482 2.482 6.033 Å, 90.00 90.00 90.00°
Atoms (fractional coordinates):
Co: 0.000 0.000 0.200
Co: 0.000 0.000 0.800
Fe: 0.500 0.500 0.500
B: 0.500 0.500 0.000